Below is a relaxed structure of Sm4PuN4, with properties calculated at the PBE level.

Cell lengths 7.987, 7.987, 5.073 Å; angles 90.00, 90.00, 90.00 degrees
Space group I4/m (No. 87)
One atom of each set of equivalent atoms:
1 Sm 0.106 0.691 0.000 x8
2 Pu 0.000 0.000 0.500 x2
3 N 0.093 0.711 0.500 x8

Calculated values
Crystal system: tetragonal
ΔE_f (raw), eV per atom: -1.22
M_tot, μB per formula unit: 5.3